No. 1
Material: PmInSe2
Method: DFT, PBE
State: relaxed

Results
The calculation puts the formation energy (no corrections) at -1.272 eV per atom. As for the final energy: -19.5 eV/f.u. As for the volume: 122.82 Å³/f.u.

Cell and atoms, written as CIF:
```
data_PmInSe2
_chemical_formula_sum 'Pm3 In3 Se6'
_symmetry_space_group_name_H-M 'R 3 m'
_symmetry_Int_Tables_number 160
_symmetry_space_group_name_Hall 'R 3 -2"'
_cell_length_a 4.2493
_cell_length_b 4.2493
_cell_length_c 23.5624
_cell_angle_alpha 90.00
_cell_angle_beta 90.00
_cell_angle_gamma 120.00
loop_
_atom_site_label
_atom_site_type_symbol
_atom_site_fract_x
_atom_site_fract_y
_atom_site_fract_z
Pm1 Pm 0.0000 0.0000 0.0000
In1 In 0.0000 0.0000 0.8299
Se1 Se 0.0000 0.0000 0.4049
Se2 Se 0.0000 0.0000 0.5975
```


No. 2
Material: PmSm2In3Se6
Method: DFT, PBE
State: relaxed

Results
The calculation puts the formation energy (no corrections) at -1.297 eV per atom. As for the final energy: -58.9 eV/f.u. As for the volume: 361.22 Å³/f.u.

Cell and atoms, written as CIF:
```
data_PmSm2In3Se6
_chemical_formula_sum 'Pm2 Sm4 In6 Se12'
_symmetry_space_group_name_H-M 'C 1 2/m 1'
_symmetry_Int_Tables_number 12
_symmetry_space_group_name_Hall '-C 2y'
_cell_length_a 7.347
_cell_length_b 12.726
_cell_length_c 8.106
_cell_angle_alpha 90.00
_cell_angle_beta 107.59
_cell_angle_gamma 90.00
loop_
_atom_site_label
_atom_site_type_symbol
_atom_site_fract_x
_atom_site_fract_y
_atom_site_fract_z
Pm1 Pm 0.000 0.000 0.000
Sm1 Sm 0.000 0.333 0.000
In1 In 0.000 0.167 0.500
In2 In 0.000 0.500 0.500
Se1 Se 0.237 0.500 0.213
Se2 Se 0.239 0.167 0.214
```


No. 3
Material: Pm2SmIn3Se6
Method: DFT, PBE
State: relaxed

Results
The calculation puts the formation energy (no corrections) at -1.297 eV per atom. As for the final energy: -58.9 eV/f.u. As for the volume: 362.69 Å³/f.u.

Cell and atoms, written as CIF:
```
data_Pm2SmIn3Se6
_chemical_formula_sum 'Pm4 Sm2 In6 Se12'
_symmetry_space_group_name_H-M 'C 1 2/m 1'
_symmetry_Int_Tables_number 12
_symmetry_space_group_name_Hall '-C 2y'
_cell_length_a 7.362
_cell_length_b 12.751
_cell_length_c 8.108
_cell_angle_alpha 90.00
_cell_angle_beta 107.62
_cell_angle_gamma 90.00
loop_
_atom_site_label
_atom_site_type_symbol
_atom_site_fract_x
_atom_site_fract_y
_atom_site_fract_z
Pm1 Pm 0.000 0.167 0.000
Sm1 Sm 0.000 0.500 0.000
In1 In 0.000 0.000 0.500
In2 In 0.000 0.333 0.500
Se1 Se 0.237 0.334 0.214
Se2 Se 0.239 0.000 0.214
```


No. 4
Material: PmInSn2Se5
Method: DFT, PBE
State: relaxed

Results
The calculation puts the formation energy (no corrections) at -0.833 eV per atom. As for the final energy: -40.4 eV/f.u. As for the volume: 270.41 Å³/f.u.

Cell and atoms, written as CIF:
```
data_PmInSn2Se5
_chemical_formula_sum 'Pm4 In4 Sn8 Se20'
_symmetry_space_group_name_H-M 'C m c 21'
_symmetry_Int_Tables_number 36
_symmetry_space_group_name_Hall 'C 2c -2'
_cell_length_a 4.144
_cell_length_b 19.301
_cell_length_c 13.523
_cell_angle_alpha 90.00
_cell_angle_beta 90.00
_cell_angle_gamma 90.00
loop_
_atom_site_label
_atom_site_type_symbol
_atom_site_fract_x
_atom_site_fract_y
_atom_site_fract_z
Pm1 Pm 0.000 0.194 0.000
In1 In 0.000 0.457 0.412
Sn1 Sn 0.000 0.132 0.307
Sn2 Sn 0.000 0.152 0.644
Se1 Se 0.000 0.037 0.032
Se2 Se 0.000 0.297 0.656
Se3 Se 0.000 0.325 0.348
Se4 Se 0.000 0.345 0.000
Se5 Se 0.000 0.465 0.758
```


No. 5
Material: Sr2PmInSe4
Method: DFT, PBE
State: relaxed

Results
The calculation puts the formation energy (no corrections) at -1.622 eV per atom. As for the final energy: -37.8 eV/f.u. As for the volume: 243.07 Å³/f.u.

Cell and atoms, written as CIF:
```
data_Sr2PmInSe4
_chemical_formula_sum 'Sr2 Pm1 In1 Se4'
_symmetry_space_group_name_H-M 'P 1 2/m 1'
_symmetry_Int_Tables_number 10
_symmetry_space_group_name_Hall '-P 2y'
_cell_length_a 7.438
_cell_length_b 4.399
_cell_length_c 7.850
_cell_angle_alpha 90.00
_cell_angle_beta 108.85
_cell_angle_gamma 90.00
loop_
_atom_site_label
_atom_site_type_symbol
_atom_site_fract_x
_atom_site_fract_y
_atom_site_fract_z
Sr1 Sr 0.000 0.000 0.000
Sr2 Sr 0.000 0.500 0.500
Pm1 Pm 0.500 0.000 0.500
In1 In 0.500 0.500 0.000
Se1 Se 0.254 0.000 0.730
Se2 Se 0.262 0.500 0.267
```


No. 6
Material: SrPmIn2Se4
Method: DFT, PBE
State: relaxed

Results
The calculation puts the formation energy (no corrections) at -1.199 eV per atom. As for the final energy: -35.4 eV/f.u. As for the volume: 238.45 Å³/f.u.

Cell and atoms, written as CIF:
```
data_SrPmIn2Se4
_chemical_formula_sum 'Sr1 Pm1 In2 Se4'
_symmetry_space_group_name_H-M 'P 1 2/m 1'
_symmetry_Int_Tables_number 10
_symmetry_space_group_name_Hall '-P 2y'
_cell_length_a 7.649
_cell_length_b 4.295
_cell_length_c 7.658
_cell_angle_alpha 90.00
_cell_angle_beta 108.60
_cell_angle_gamma 90.00
loop_
_atom_site_label
_atom_site_type_symbol
_atom_site_fract_x
_atom_site_fract_y
_atom_site_fract_z
Sr1 Sr 0.000 0.000 0.000
Pm1 Pm 0.500 0.500 0.000
In1 In 0.000 0.500 0.500
In2 In 0.500 0.000 0.500
Se1 Se 0.269 0.500 0.243
Se2 Se 0.276 0.000 0.769
```


No. 7
Material: Tb2PmIn3Se6
Method: DFT, PBE
State: relaxed

Results
The calculation puts the formation energy (no corrections) at -1.301 eV per atom. As for the final energy: -58.7 eV/f.u. As for the volume: 354.09 Å³/f.u.

Cell and atoms, written as CIF:
```
data_Tb2PmIn3Se6
_chemical_formula_sum 'Tb4 Pm2 In6 Se12'
_symmetry_space_group_name_H-M 'C 1 2/m 1'
_symmetry_Int_Tables_number 12
_symmetry_space_group_name_Hall '-C 2y'
_cell_length_a 7.271
_cell_length_b 12.592
_cell_length_c 8.105
_cell_angle_alpha 90.00
_cell_angle_beta 107.39
_cell_angle_gamma 90.00
loop_
_atom_site_label
_atom_site_type_symbol
_atom_site_fract_x
_atom_site_fract_y
_atom_site_fract_z
Tb1 Tb 0.000 0.167 0.000
Pm1 Pm 0.000 0.500 0.000
In1 In 0.000 0.000 0.500
In2 In 0.000 0.334 0.500
Se1 Se 0.231 0.000 0.210
Se2 Se 0.240 0.331 0.211
```


No. 8
Material: TbPmIn2Se4
Method: DFT, PBE
State: relaxed

Results
The calculation puts the formation energy (no corrections) at -1.299 eV per atom. As for the final energy: -39.2 eV/f.u. As for the volume: 237.75 Å³/f.u.

Cell and atoms, written as CIF:
```
data_TbPmIn2Se4
_chemical_formula_sum 'Tb1 Pm1 In2 Se4'
_symmetry_space_group_name_H-M 'P 1 2/m 1'
_symmetry_Int_Tables_number 10
_symmetry_space_group_name_Hall '-P 2y'
_cell_length_a 7.296
_cell_length_b 4.212
_cell_length_c 8.109
_cell_angle_alpha 90.00
_cell_angle_beta 107.44
_cell_angle_gamma 90.00
loop_
_atom_site_label
_atom_site_type_symbol
_atom_site_fract_x
_atom_site_fract_y
_atom_site_fract_z
Tb1 Tb 0.000 0.000 0.000
Pm1 Pm 0.500 0.500 0.000
In1 In 0.000 0.500 0.500
In2 In 0.500 0.000 0.500
Se1 Se 0.232 0.500 0.210
Se2 Se 0.257 0.000 0.787
```


No. 9
Material: TbPm2In3Se6
Method: DFT, PBE
State: relaxed

Results
The calculation puts the formation energy (no corrections) at -1.298 eV per atom. As for the final energy: -58.8 eV/f.u. As for the volume: 359.11 Å³/f.u.

Cell and atoms, written as CIF:
```
data_TbPm2In3Se6
_chemical_formula_sum 'Tb2 Pm4 In6 Se12'
_symmetry_space_group_name_H-M 'C 1 2/m 1'
_symmetry_Int_Tables_number 12
_symmetry_space_group_name_Hall '-C 2y'
_cell_length_a 7.325
_cell_length_b 12.687
_cell_length_c 8.105
_cell_angle_alpha 90.00
_cell_angle_beta 107.52
_cell_angle_gamma 90.00
loop_
_atom_site_label
_atom_site_type_symbol
_atom_site_fract_x
_atom_site_fract_y
_atom_site_fract_z
Tb1 Tb 0.000 0.000 0.000
Pm1 Pm 0.000 0.333 0.000
In1 In 0.000 0.168 0.500
In2 In 0.000 0.500 0.500
Se1 Se 0.235 0.164 0.212
Se2 Se 0.243 0.500 0.213
```


No. 10
Material: Pm6InTe3Se2
Method: DFT, PBE
State: relaxed

Results
The calculation puts the formation energy (no corrections) at -1.390 eV per atom. As for the final energy: -64.3 eV/f.u. As for the volume: 358.41 Å³/f.u.

Cell and atoms, written as CIF:
```
data_Pm6InTe3Se2
_chemical_formula_sum 'Pm12 In2 Te6 Se4'
_symmetry_space_group_name_H-M 'C 1 2/m 1'
_symmetry_Int_Tables_number 12
_symmetry_space_group_name_Hall '-C 2y'
_cell_length_a 19.276
_cell_length_b 4.295
_cell_length_c 8.952
_cell_angle_alpha 90.00
_cell_angle_beta 104.71
_cell_angle_gamma 90.00
loop_
_atom_site_label
_atom_site_type_symbol
_atom_site_fract_x
_atom_site_fract_y
_atom_site_fract_z
Pm1 Pm 0.006 0.000 0.250
Pm2 Pm 0.165 0.500 0.099
Pm3 Pm 0.173 0.500 0.567
In1 In 0.000 0.500 0.000
Te1 Te 0.000 0.500 0.500
Te2 Te 0.166 0.000 0.830
Se1 Se 0.168 0.000 0.334
```


No. 11
Material: PmTmIn2Se4
Method: DFT, PBE
State: relaxed

Results
The calculation puts the formation energy (no corrections) at -1.288 eV per atom. As for the final energy: -38.9 eV/f.u. As for the volume: 234.11 Å³/f.u.

Cell and atoms, written as CIF:
```
data_PmTmIn2Se4
_chemical_formula_sum 'Pm1 Tm1 In2 Se4'
_symmetry_space_group_name_H-M 'P 1 2/m 1'
_symmetry_Int_Tables_number 10
_symmetry_space_group_name_Hall '-P 2y'
_cell_length_a 7.242
_cell_length_b 4.178
_cell_length_c 8.103
_cell_angle_alpha 90.00
_cell_angle_beta 107.29
_cell_angle_gamma 90.00
loop_
_atom_site_label
_atom_site_type_symbol
_atom_site_fract_x
_atom_site_fract_y
_atom_site_fract_z
Pm1 Pm 0.000 0.000 0.000
Tm1 Tm 0.500 0.500 0.000
In1 In 0.000 0.500 0.500
In2 In 0.500 0.000 0.500
Se1 Se 0.246 0.500 0.212
Se2 Se 0.273 0.000 0.793
```


No. 12
Material: Pm2UIn3Se6
Method: DFT, PBE
State: relaxed

Results
The calculation puts the formation energy (no corrections) at -1.112 eV per atom. As for the final energy: -63.3 eV/f.u. As for the volume: 359.61 Å³/f.u.

Cell and atoms, written as CIF:
```
data_Pm2UIn3Se6
_chemical_formula_sum 'Pm4 U2 In6 Se12'
_symmetry_space_group_name_H-M 'C 1 2/m 1'
_symmetry_Int_Tables_number 12
_symmetry_space_group_name_Hall '-C 2y'
_cell_length_a 7.320
_cell_length_b 12.668
_cell_length_c 8.130
_cell_angle_alpha 90.00
_cell_angle_beta 107.44
_cell_angle_gamma 90.00
loop_
_atom_site_label
_atom_site_type_symbol
_atom_site_fract_x
_atom_site_fract_y
_atom_site_fract_z
Pm1 Pm 0.000 0.167 0.000
U1 U 0.000 0.500 0.000
In1 In 0.000 0.000 0.500
In2 In 0.000 0.332 0.500
Se1 Se 0.234 0.337 0.212
Se2 Se 0.245 0.000 0.214
```